Entry 1:
DFT (PBE) results for a relaxed structure of K2RbNa7.

Values from the calculation:
For the magnetic moment, the calculation gives 0.000 μB/atom. The calculation puts the formation enthalpy at 0 K at 0.07 eV per atom. The calculation puts the final energy at -11.7 eV/cell.

a = 4.0157 Å, b = 9.0317 Å, c = 14.5919 Å
α = 108.03°, β = 90.00°, γ = 90.00°
Last column: nearest neighbours and their distance in Å.
Fractional positions:
K1 0.5000 0.7399 0.4798  2 K 4.02, 6 Na 4.05-4.22
K2 0.5000 0.2601 0.5202  2 K 4.02, 6 Na 4.05-4.22
Rb1 0.0000 0.0000 0.0000  2 Rb 4.02, 8 Na 4.43
Na1 0.0000 0.6063 0.2126  6 Na 3.50-3.57
Na2 0.0000 0.3937 0.7874  6 Na 3.50-3.57
Na3 0.5000 0.6818 0.7441  3 Na 3.44-3.50
Na4 0.5000 0.3182 0.2559  3 Na 3.44-3.50
Na5 0.5000 0.9377 0.2559  3 Na 3.44-3.50
Na6 0.5000 0.0623 0.7441  3 Na 3.44-3.50
Na7 0.5000 0.5000 0.0000  4 Na 3.57

***

Entry 2:
DFT (PBE) results for a relaxed structure of K6RbNa3.

Values from the calculation:
For the magnetic moment, the calculation gives 0.000 μB/atom. The calculation puts the formation enthalpy at 0 K at 0.03 eV per atom. The calculation puts the final energy at -22.4 eV/cell.

a = 4.4114 Å, b = 18.5967 Å, c = 15.4363 Å
α = 96.63°, β = 90.00°, γ = 90.00°
Last column: nearest neighbours and their distance in Å.
Fractional positions:
K1 0.7500 0.4661 0.6149  3 Na 4.13-4.18, 8 K 4.41-4.48
K2 0.2500 0.5339 0.3851  3 Na 4.13-4.18, 8 K 4.41-4.48
K3 0.7500 0.7539 0.0309  4 Na 4.23-4.36, 6 K 4.23-4.60
K4 0.2500 0.2461 0.9691  4 Na 4.23-4.36, 6 K 4.23-4.60
K5 0.7500 0.3925 0.1839  3 Na 4.26-4.37, 8 K 4.41-4.61
K6 0.2500 0.6075 0.8161  3 Na 4.26-4.37, 8 K 4.41-4.61
K7 0.7500 0.7174 0.2964  3 Na 4.18-4.62, 5 K 4.23-4.41
K8 0.2500 0.2826 0.7036  3 Na 4.18-4.62, 5 K 4.23-4.41
K9 0.7500 0.1205 0.4817  6 K 4.41-4.83, 2 Na 4.46, 1 Rb 4.67
K10 0.2500 0.8795 0.5183  6 K 4.41-4.83, 2 Na 4.46, 1 Rb 4.67
K11 0.7500 0.8157 0.7628  3 Na 3.84-4.08
K12 0.2500 0.1843 0.2372  3 Na 3.84-4.08
Rb1 0.7500 0.0567 0.7653  3 Na 4.31-4.53, 2 Rb 4.41, 2 K 4.48-4.67
Rb2 0.2500 0.9433 0.2347  3 Na 4.31-4.53, 2 Rb 4.41, 2 K 4.48-4.67
Na1 0.7500 0.4374 0.9122  4 Na 4.02-4.41, 5 K 4.26-4.37
Na2 0.2500 0.5626 0.0878  4 Na 4.02-4.41, 5 K 4.26-4.37
Na3 0.7500 0.6776 0.5578  5 K 3.84-4.18
Na4 0.2500 0.3224 0.4422  5 K 3.84-4.18
Na5 0.7500 0.0699 0.0457  2 Na 3.57
Na6 0.2500 0.9301 0.9543  2 Na 3.57

***

Entry 3:
DFT (PBE) results for a relaxed structure of K5Rb2Na12.

Values from the calculation:
For the magnetic moment, the calculation gives 0.000 μB/atom. The calculation puts the formation enthalpy at 0 K at 0.03 eV per atom. The calculation puts the final energy at -22.6 eV/cell.

a = 9.5293 Å, b = 12.5791 Å, c = 12.5791 Å
α = 40.65°, β = 86.64°, γ = 86.64°
Last column: nearest neighbours and their distance in Å.
Fractional positions:
K1 0.5541 0.2492 0.2492  9 Na 3.94-4.27
K2 0.0640 0.3024 0.3024  7 Na 4.00-4.38
K3 0.5000 0.0000 0.0000  4 Na 3.87
K4 0.9360 0.6976 0.6976  7 Na 4.00-4.38
K5 0.4459 0.7508 0.7508  9 Na 3.94-4.27
Rb1 0.0000 0.7515 0.2485  8 Na 4.20-4.33, 2 Rb 4.34-4.40
Rb2 0.0000 0.2485 0.7515  8 Na 4.20-4.33, 2 Rb 4.34-4.40
Na1 0.0975 0.8498 0.8498  4 Na 3.75-3.76, 2 K 3.94-4.00
Na2 0.7480 0.0561 0.6532  4 Na 3.52-3.78
Na3 0.7480 0.6532 0.0561  4 Na 3.52-3.78
Na4 0.3644 0.1786 0.6037  5 Na 3.67-4.08, 2 K 3.87-4.10
Na5 0.3644 0.6037 0.1786  5 Na 3.67-4.08, 2 K 3.87-4.10
Na6 0.6482 0.4545 0.4545  5 Na 3.44-3.67
Na7 0.3518 0.5455 0.5455  5 Na 3.44-3.67
Na8 0.6356 0.8214 0.3963  5 Na 3.67-4.08, 2 K 3.87-4.10
Na9 0.6356 0.3963 0.8214  5 Na 3.67-4.08, 2 K 3.87-4.10
Na10 0.2520 0.9439 0.3468  4 Na 3.52-3.78
Na11 0.2520 0.3468 0.9439  4 Na 3.52-3.78
Na12 0.9025 0.1502 0.1502  4 Na 3.75-3.76, 2 K 3.94-4.00

***

Entry 4:
DFT (PBE) results for a relaxed structure of K2Rb8Na3.

Values from the calculation:
For the magnetic moment, the calculation gives 0.000 μB/atom. The calculation puts the formation enthalpy at 0 K at 0.04 eV per atom. The calculation puts the final energy at -13.3 eV/cell. Its energy above the most stable polymorph in this dataset is 0.000 eV/atom.

a = 7.4412 Å, b = 11.3563 Å, c = 12.8079 Å
α = 112.62°, β = 90.00°, γ = 90.00°
Last column: nearest neighbours and their distance in Å.
Fractional positions:
K1 0.5000 0.2943 0.4186  1 K 4.32, 7 Rb 4.41-4.83
K2 0.5000 0.7057 0.5814  1 K 4.32, 7 Rb 4.41-4.83
Rb1 0.0000 0.6032 0.3527  1 Na 4.29, 2 K 4.60, 2 Rb 4.78
Rb2 0.0000 0.3968 0.6473  1 Na 4.29, 2 K 4.60, 2 Rb 4.78
Rb3 0.0000 0.1052 0.1949  4 Na 4.38-4.66, 1 Rb 4.63, 2 K 4.68
Rb4 0.0000 0.8948 0.8051  4 Na 4.38-4.66, 1 Rb 4.63, 2 K 4.68
Rb5 0.5000 0.6032 0.8802  3 Na 4.16-4.22, 1 K 4.41, 1 Rb 4.52
Rb6 0.5000 0.1389 0.7203  3 Na 4.43-4.71, 2 K 4.54-4.83, 2 Rb 4.82-4.87
Rb7 0.5000 0.8611 0.2797  3 Na 4.43-4.71, 2 K 4.54-4.83, 2 Rb 4.82-4.87
Rb8 0.5000 0.3968 0.1198  3 Na 4.16-4.22, 1 K 4.41, 1 Rb 4.52
Na1 0.5000 0.0000 0.0000  8 Rb 4.16-4.43
Na2 0.0000 0.3216 0.9507  1 Na 3.75
Na3 0.0000 0.6784 0.0493  1 Na 3.75

***

Entry 5:
DFT (PBE) results for a relaxed structure of K2RbNaS.

Values from the calculation:
For the magnetic moment, the calculation gives 0.000 μB/atom. The calculation puts the final energy at -11.0 eV/cell. Its energy above the most stable polymorph in this dataset is 0.059 eV/atom. The value obtained for the formation energy without anion corrections is -0.49 eV/atom.

a = 6.4397 Å, b = 6.4397 Å, c = 5.6533 Å
α = 90.00°, β = 90.00°, γ = 90.00°
Last column: nearest neighbours and their distance in Å.
Fractional positions:
Na1 0.0000 0.0000 0.5000  2 S 2.83
K1 0.0000 0.5000 0.0000  2 S 3.22
K2 0.5000 0.0000 0.0000  2 S 3.22
S1 0.0000 0.0000 0.0000  2 Na 2.83
Rb1 0.5000 0.5000 0.5000  8 K 4.28, 4 Na 4.55

***

Entry 6:
DFT (PBE) results for a relaxed structure of K2Rb6NaS.

Values from the calculation:
For the magnetic moment, the calculation gives 0.000 μB/atom. The calculation puts the final energy at -15.9 eV/cell. The value obtained for the formation energy without anion corrections is -0.24 eV/atom.

a = 10.1686 Å, b = 10.1685 Å, c = 10.1322 Å
α = 119.92°, β = 119.92°, γ = 89.92°
Last column: nearest neighbours and their distance in Å.
Fractional positions:
K1 0.7516 0.2512 0.5024  12 Rb 5.07-5.13
K2 0.2509 0.7519 0.5024  12 Rb 5.07-5.13
Rb1 0.7774 0.7779 0.0020  1 S 3.22
Rb2 0.7759 0.7763 0.5509  1 S 3.22
Rb3 0.2231 0.2235 0.9988  1 S 3.22
Rb4 0.7764 0.2245 0.0004  1 S 3.22
Rb5 0.2224 0.2229 0.4457  1 S 3.21
Rb6 0.2239 0.7770 0.0005  1 S 3.22
Na1 0.4981 0.4990 0.9965  6 Rb 3.96-3.98
S1 0.9992 0.9997 0.9984  6 Rb 3.21-3.22

***

Entry 7:
DFT (PBE) results for a relaxed structure of K2RbNaS.

Values from the calculation:
For the magnetic moment, the calculation gives 0.000 μB/atom. The calculation puts the final energy at -11.3 eV/cell. Its energy above the most stable polymorph in this dataset is 0.000 eV/atom. The value obtained for the formation energy without anion corrections is -0.55 eV/atom.

a = 6.2153 Å, b = 6.2153 Å, c = 6.5420 Å
α = 90.00°, β = 90.00°, γ = 90.00°
Last column: nearest neighbours and their distance in Å.
Fractional positions:
Na1 0.5000 0.5000 0.5000  4 Rb 4.39, 8 K 4.51
K1 0.0000 0.5000 0.0000  2 S 3.11
K2 0.5000 0.0000 0.0000  2 S 3.11
S1 0.0000 0.0000 0.0000  4 K 3.11, 2 Rb 3.27
Rb1 0.0000 0.0000 0.5000  2 S 3.27

***

Entry 8:
DFT (PBE) results for a relaxed structure of KRbNa2Sb.

Values from the calculation:
For the magnetic moment, the calculation gives 0.000 μB/atom. The calculation puts the final energy at -9.6 eV/cell. Its energy above the most stable polymorph in this dataset is 0.040 eV/atom. The value obtained for the formation energy without anion corrections is -0.16 eV/atom.

a = 6.1088 Å, b = 6.1088 Å, c = 7.1359 Å
α = 90.00°, β = 90.00°, γ = 90.00°
Last column: nearest neighbours and their distance in Å.
Fractional positions:
Sb1 0.0000 0.0000 0.0000  4 Na 3.05
K1 0.5000 0.5000 0.5000  4 Rb 4.32, 8 Na 4.70
Rb1 0.0000 0.0000 0.5000  2 Sb 3.57
Na1 0.0000 0.5000 0.0000  2 Sb 3.05
Na2 0.5000 0.0000 0.0000  2 Sb 3.05

***

Entry 9:
DFT (PBE) results for a relaxed structure of KRbNa2Sb.

Values from the calculation:
For the magnetic moment, the calculation gives 0.000 μB/atom. The calculation puts the final energy at -9.8 eV/cell. Its energy above the most stable polymorph in this dataset is 0.000 eV/atom. The value obtained for the formation energy without anion corrections is -0.20 eV/atom.

a = 6.1231 Å, b = 6.1231 Å, c = 6.8391 Å
α = 90.00°, β = 90.00°, γ = 90.00°
Last column: nearest neighbours and their distance in Å.
Fractional positions:
Sb1 0.0000 0.0000 0.0000  4 Na 3.06, 2 K 3.42
K1 0.0000 0.0000 0.5000  2 Sb 3.42
Rb1 0.5000 0.5000 0.5000  4 K 4.33, 8 Na 4.59
Na1 0.0000 0.5000 0.0000  2 Sb 3.06
Na2 0.5000 0.0000 0.0000  2 Sb 3.06

***

Entry 10:
DFT (PBE) results for a relaxed structure of K2RbNaSc.

Values from the calculation:
For the magnetic moment, the calculation gives 0.365 μB/atom. The calculation puts the formation enthalpy at 0 K at 0.58 eV per atom. The calculation puts the final energy at -7.9 eV/cell.

a = 6.8729 Å, b = 6.4048 Å, c = 6.8729 Å
α = 90.00°, β = 90.00°, γ = 90.00°
Last column: nearest neighbours and their distance in Å.
Fractional positions:
Sc1 0.0000 0.5000 0.0000  2 Na 3.20
Na1 0.0000 0.0000 0.0000  2 Sc 3.20, 4 K 3.44
K1 0.0000 0.0000 0.5000  2 Na 3.44
K2 0.5000 0.0000 0.0000  2 Na 3.44
Rb1 0.5000 0.5000 0.5000  8 K 4.70, 4 Sc 4.86

***

Entry 11:
DFT (PBE) results for a relaxed structure of KRbNa2Se.

Values from the calculation:
For the magnetic moment, the calculation gives 0.000 μB/atom. The calculation puts the final energy at -10.6 eV/cell. Its energy above the most stable polymorph in this dataset is 0.010 eV/atom. The value obtained for the formation energy without anion corrections is -0.47 eV/atom.

a = 5.8712 Å, b = 5.8712 Å, c = 6.7876 Å
α = 90.00°, β = 90.00°, γ = 90.00°
Last column: nearest neighbours and their distance in Å.
Fractional positions:
Na1 0.0000 0.5000 0.0000  2 Se 2.94
Na2 0.5000 0.0000 0.0000  2 Se 2.94
K1 0.5000 0.5000 0.5000  4 Rb 4.15, 8 Na 4.49
Se1 0.0000 0.0000 0.0000  4 Na 2.94
Rb1 0.0000 0.0000 0.5000  2 Se 3.39

***

Entry 12:
DFT (PBE) results for a relaxed structure of KRbNa2Se.

Values from the calculation:
For the magnetic moment, the calculation gives 0.000 μB/atom. The calculation puts the final energy at -10.6 eV/cell. Its energy above the most stable polymorph in this dataset is 0.000 eV/atom. The value obtained for the formation energy without anion corrections is -0.48 eV/atom.

a = 5.9101 Å, b = 5.9101 Å, c = 6.5143 Å
α = 90.00°, β = 90.00°, γ = 90.00°
Last column: nearest neighbours and their distance in Å.
Fractional positions:
Na1 0.0000 0.5000 0.0000  2 Se 2.96
Na2 0.5000 0.0000 0.0000  2 Se 2.96
K1 0.0000 0.0000 0.5000  2 Se 3.26
Se1 0.0000 0.0000 0.0000  4 Na 2.96, 2 K 3.26
Rb1 0.5000 0.5000 0.5000  4 K 4.18, 8 Na 4.40

***

Q: Which of these has the lowest final energy?
A: K5Rb2Na12